This record from Alexandria via LeMat-Bulk describes a geometry-optimized Na2InHgGe structure. The functional is PBE.

```
Na2InHgGe
1.0
5.7270 0.0000 0.0000
0.0000 5.7270 0.0000
0.0000 0.0000 5.3755
Na In Hg Ge
2 1 1 1
direct
0.0000 0.5000 0.0000
0.5000 0.0000 0.0000
0.0000 0.0000 0.5000
0.5000 0.5000 0.5000
0.0000 0.0000 0.0000
```

Values from the calculation:
Magnetization, μB per cell: 0.000
Symmetry: P4/mmm
ΔH_f (0 K), kcal/mol of atoms: 0.75